Material: CoBi2Cl
Method: DFT, PBE
State: optimized geometry

The structure in POSCAR format:
```
CoBi2Cl
1.0
-2.692 1.855 -5.422
-5.461 -2.646 1.806
-5.786 4.965 0.875
Co Bi Cl
2 4 2
Direct
0.000 0.000 0.000
0.750 0.250 0.500
0.718 0.125 0.250
0.032 0.625 0.250
0.375 0.282 0.750
0.875 0.968 0.750
0.500 0.500 0.000
0.250 0.750 0.500
```

Symmetry ... I-42d (122)
Polymorph energy (0 for the lowest one) ... 0 meV/atom
Raw total energy ... -4.067 eV/atom